A relaxed KPaAu2Se4 crystal. Source: Alexandria, functional PBE.

Values from the calculation:
magnetization	0.0	μB per cell
total energy	-4.6175	eV per atom
symmetry	I222, No. 23
ΔE_f (raw)	-0.7317	eV per atom

Cell: 6.3410 7.0442 7.0442 Å, 76.81 63.25 63.25°
Atoms (fractional coordinates):
Pa 0.5000 0.5000 0.5000
Au 0.8406 0.6594 0.6594
Au 0.1594 0.3406 0.3406
Se 0.8970 0.5001 0.1246
Se 0.5217 0.4999 0.8753
Se 0.4783 0.1247 0.5001
Se 0.1030 0.8754 0.4999
K 0.0000 0.0000 0.0000

---

A relaxed CoTePd crystal. Source: Alexandria, functional PBE.

Values from the calculation:
magnetization	1.2	μB per cell
total energy	-5.1202	eV per atom
symmetry	R-3m, No. 166
ΔE_f (raw)	0.0266	eV per atom

Cell: 3.9695 3.9695 9.1936 Å, 77.53 77.53 60.00°
Site moments in Bohr magnetons follow the coordinates.
Atoms (fractional coordinates):
Pd 0.8049 0.8049 0.5853  0.04
Pd 0.1951 0.1951 0.4147  0.04
Te 0.6043 0.6043 0.1870  -0.01
Te 0.3957 0.3957 0.8130  -0.01
Co 0.0965 0.0965 0.7105  0.54
Co 0.9035 0.9035 0.2895  0.54

---

Which of these has the highest ΔE_f (raw)?
CoTePd